No. 1
Entry from Alexandria: a relaxed structure of KReTe (PBE).

Computed properties:
Energy above the lowest structure with this stoichiometry: 571 meV per atom
E_form (uncorrected): 1.1399 eV/atom
Fermi-level density of states: 4.297 states/eV per cell
Space-group type: P-6m2 (187)

Unit cell a=5.2224 b=5.2224 c=2.9288 alpha=90.00 beta=90.00 gamma=120.00
Site moments in Bohr magnetons follow the coordinates.
Positions (direct):
K: 0.0000 0.0000 0.0000  0.01
Te: 0.3333 0.6667 0.5000  0.02
Re: 0.6667 0.3333 0.5000  0.52

***

No. 2
Entry from Alexandria: a relaxed structure of CeTl2Hg8 (PBE).

Computed properties:
Calculated total energy: -1.265 eV/atom
Fermi-level density of states: 11.317 states/eV per cell
Space-group type: C2/m (12)

Unit cell a=5.1439 b=6.1714 c=10.4864 alpha=107.11 beta=102.11 gamma=90.00
Site moments in Bohr magnetons follow the coordinates.
Positions (direct):
Hg: 0.0655 0.5785 0.1569  0.00
Hg: 0.8525 0.8300 0.6600  0.00
Hg: 0.5707 0.8367 0.1653  0.00
Hg: 0.1475 0.1700 0.3400  0.00
Hg: 0.9345 0.4215 0.8431  0.00
Hg: 0.4293 0.1633 0.8347  0.00
Hg: 0.5707 0.3285 0.1653  0.00
Hg: 0.4293 0.6715 0.8347  0.00
Tl: 0.2682 0.7379 0.4758  0.00
Tl: 0.7318 0.2621 0.5242  0.00
Ce: 0.0000 0.0000 0.0000  0.94

***

No. 3
Entry from Alexandria: a relaxed structure of Sb2PdF (PBE).

Computed properties:
Energy above the lowest structure with this stoichiometry: 230 meV per atom
E_form (uncorrected): -0.5289 eV/atom
Fermi-level density of states: 2.906 states/eV per cell
Space-group type: I-42d (122)

Unit cell a=4.7607 b=4.7607 c=8.5210 alpha=73.78 beta=73.78 gamma=90.00
Positions (direct):
F: 0.5000 0.5000 0.0000
F: 0.2500 0.7500 0.5000
Sb: 0.3750 0.4133 0.7500
Sb: 0.5867 0.1250 0.2500
Sb: 0.8750 0.8367 0.7500
Sb: 0.1633 0.6250 0.2500
Pd: 0.0000 0.0000 0.0000
Pd: 0.7500 0.2500 0.5000